Here is crystalline CoPtAu2 at its relaxed geometry from Alexandria. Energies are from PBE.

a b c (Å): 2.8208 2.8208 27.4926
angles (deg): 90.00 90.00 120.00
Space group R-3m (No. 166, hexagonal axes)
Asymmetric unit:
Co 0.0000 0.0000 0.0000
Pt 0.0000 0.0000 0.5000
Au 0.0000 0.0000 0.2547

* offset from the most stable computed form: 0.105 eV/atom
* DFT total energy: -57.34 eV for the cell shown
* calculated volume: 189.4 Å³/cell
* DFT formation energy: 147 meV per atom
* density: 17.04 g cm⁻³
* Fermi-level density of states: 7.142 states/eV per cell
* total moment: 1.7 μB per formula unit

=====

Here is crystalline CoPtAu2 at its relaxed geometry from Alexandria. Energies are from PBE.

a b c (Å): 2.8501 4.7445 9.4607
angles (deg): 90.00 90.00 90.00
Space group Imm2 (No. 44)
Asymmetric unit:
Co 0.0000 0.0000 0.0000
Pt 0.0000 0.5000 0.7219
Au 0.0000 0.0000 0.4864
Au 0.0000 0.5000 0.2570

* offset from the most stable computed form: 0.126 eV/atom
* DFT total energy: -38.06 eV for the cell shown
* calculated volume: 127.9 Å³/cell
* DFT formation energy: 168 meV per atom
* density: 16.82 g cm⁻³
* Fermi-level density of states: 9.583 states/eV per cell
* total moment: 2.1 μB per formula unit

=====

Here is crystalline Co4PtAu at its relaxed geometry from Alexandria. Energies are from PBE.

a b c (Å): 6.7841 6.7841 6.7841
angles (deg): 90.00 90.00 90.00
Space group F-43m (No. 216)
Asymmetric unit:
Co 0.1252 0.1252 0.1252
Pt 0.0000 0.0000 0.5000
Au 0.2500 0.2500 0.7500

* DFT total energy: -148.15 eV for the cell shown
* calculated volume: 312.2 Å³/cell
* DFT formation energy: 117 meV per atom
* density: 13.36 g cm⁻³
* Fermi-level density of states: 35.858 states/eV per cell
* total moment: 7.7 μB per formula unit

=====

Here is crystalline CoPt2Au at its relaxed geometry from Alexandria. Energies are from PBE.

a b c (Å): 2.7801 2.7801 7.8599
angles (deg): 90.00 90.00 90.00
Space group P4/mmm (No. 123)
Asymmetric unit:
Co 0.0000 0.0000 0.0000
Pt 0.5000 0.5000 0.2218
Au 0.0000 0.0000 0.5000

* DFT total energy: -22.61 eV for the cell shown
* calculated volume: 60.7 Å³/cell
* DFT formation energy: -35 meV per atom
* density: 17.66 g cm⁻³
* Fermi-level density of states: 3.709 states/eV per cell
* total moment: 2.6 μB per formula unit

=====

Here is crystalline CoPt2Au at its relaxed geometry from Alexandria. Energies are from PBE.

a b c (Å): 3.9173 3.9173 7.9473
angles (deg): 90.00 90.00 90.00
Space group I4/mmm (No. 139)
Asymmetric unit:
Co 0.0000 0.0000 0.0000
Pt 0.0000 0.5000 0.2500
Au 0.0000 0.0000 0.5000

* DFT total energy: -44.54 eV for the cell shown
* calculated volume: 122.0 Å³/cell
* DFT formation energy: 49 meV per atom
* density: 17.59 g cm⁻³
* Fermi-level density of states: 7.466 states/eV per cell
* total moment: 2.5 μB per formula unit

=====

Here is crystalline CoPtAu2 at its relaxed geometry from Alexandria. Energies are from PBE.

a b c (Å): 9.2593 2.8315 4.9482
angles (deg): 90.00 101.38 90.00
Space group Cm (No. 8)
Asymmetric unit:
Co 0.0000 0.0000 0.0000
Pt 0.2656 0.0000 0.7887
Au 0.0071 0.5000 0.5211
Au 0.2462 0.5000 0.2634

* offset from the most stable computed form: 0.090 eV/atom
* DFT total energy: -38.35 eV for the cell shown
* calculated volume: 127.2 Å³/cell
* DFT formation energy: 132 meV per atom
* density: 16.92 g cm⁻³
* Fermi-level density of states: 7.529 states/eV per cell
* total moment: 2.1 μB per formula unit